! Ir3Os | Alexandria | SCAN | PBEsol geometry; values from VASP
! E_form = 0.016 eV/atom
! E_tot = -71.28 eV per atom
&SYSTEM
  ibrav = 0, nat = 4, ntyp = 2
/
ATOMIC_SPECIES
Ir 192.22 Ir.upf
Os 190.23 Os.upf
ATOMIC_POSITIONS crystal
Ir 0.751 0.751 0.747
Ir 0.000 0.000 0.000
Ir 0.249 0.249 0.253
Os 0.500 0.500 0.500
CELL_PARAMETERS angstrom
2.705 0.000 0.000
1.353 2.343 0.000
1.353 0.781 8.847